(1)
4
Lattice="3.112 0.000 0.069 0.000 4.666 0.000 -0.123 0.000 5.220" Properties=species:S:1:pos:R:3 comment="TlCd2Ir GGA-PBEsol optimized geometry" formation_energy_kj_per_mol_atoms=26.02 dos_at_fermi_per_ev_cell=1.60 de_polymorph_kj_per_mol_atoms=5.54 e_tot_ev_per_atom=-3.442 sg=Pm pbc="T T T"
Cd 2.684 2.333 1.626
Ir 1.112 0.000 2.393
Tl 1.073 2.333 4.057
Cd 2.605 0.000 5.147



(2)
6
Lattice="5.527 0.000 0.000 2.763 4.786 0.000 2.763 1.595 4.513" Properties=species:S:1:pos:R:3 comment="TlCd4Ir GGA-PBEsol optimized geometry" formation_energy_kj_per_mol_atoms=37.85 dos_at_fermi_per_ev_cell=2.11 e_tot_ev_per_atom=-2.481 sg=F-43m pbc="T T T"
Tl 0.000 0.000 0.000
Cd 5.527 3.191 3.940
Ir 8.290 4.786 3.384
Cd 5.527 4.778 1.695
Cd 6.901 2.397 1.695
Cd 4.152 2.397 1.695



(3)
4
Lattice="-0.594 -3.042 0.652 2.193 0.541 4.523 -4.950 1.010 0.203" Properties=species:S:1:pos:R:3 comment="TlCd2Ir GGA-PBEsol optimized geometry" formation_energy_kj_per_mol_atoms=28.62 dos_at_fermi_per_ev_cell=1.77 de_polymorph_kj_per_mol_atoms=8.13 e_tot_ev_per_atom=-3.415 sg=Cmmm pbc="T T T"
Cd -2.475 0.505 0.101
Cd 1.096 0.271 2.262
Tl -0.297 -1.521 0.326
Ir -1.675 -0.746 2.689



(4)
4
Lattice="2.902 0.000 -0.005 0.000 4.652 0.000 -0.039 0.000 5.091" Properties=species:S:1:pos:R:3 comment="TlCdIr2 GGA-PBEsol optimized geometry" formation_energy_kj_per_mol_atoms=47.48 dos_at_fermi_per_ev_cell=2.25 e_tot_ev_per_atom=-5.376 sg=P2/m pbc="T T T"
Ir 2.107 0.000 3.739
Cd -0.019 2.326 2.546
Tl 1.451 2.326 -0.002
Ir 0.756 0.000 1.348



(5)
4
Lattice="-4.584 0.065 0.243 -2.209 -3.129 2.531 -2.075 1.251 3.899" Properties=species:S:1:pos:R:3 comment="TlCdIr2 GGA-PBEsol optimized geometry" formation_energy_kj_per_mol_atoms=59.09 dos_at_fermi_per_ev_cell=6.73 e_tot_ev_per_atom=-5.256 sg=F-43m pbc="T T T"
Ir -6.650 -1.359 5.004
Cd -4.434 -0.906 3.336
Ir 0.000 0.000 0.000
Tl -2.217 -0.453 1.668



(6)
4
Lattice="-0.014 -2.234 -1.996 3.051 1.480 -1.677 3.516 -3.208 3.566" Properties=species:S:1:pos:R:3 comment="TlCdIr2 GGA-PBEsol optimized geometry" formation_energy_kj_per_mol_atoms=42.09 dos_at_fermi_per_ev_cell=2.66 e_tot_ev_per_atom=-5.432 sg=Pmmm pbc="T T T"
Ir 2.626 -2.396 2.663
Tl 1.519 -0.377 -1.837
Ir 0.890 -0.812 0.903
Cd 3.276 -1.981 -0.054